SrAl2Pb | PBE | relaxed Values from VASP.

Values from the calculation:
The space group is R3m (160).

Quantum ESPRESSO input file:
```
&SYSTEM
  ibrav = 0, nat = 4, ntyp = 3
/
ATOMIC_SPECIES
Pb 207.20 Pb.upf
Sr 87.62 Sr.upf
Al 26.98 Al.upf
ATOMIC_POSITIONS angstrom
Pb -3.423 -0.626 5.391
Sr -1.628 -0.726 2.325
Al -2.230 2.249 4.990
Al -5.112 -1.050 7.986
CELL_PARAMETERS angstrom
-4.060 -1.832 1.127
-0.267 -3.091 3.389
-2.360 2.893 5.568
```


SrAlPb2 | PBE | relaxed Values from VASP.

Values from the calculation:
The space group is I4/mmm (139).

Quantum ESPRESSO input file:
```
&SYSTEM
  ibrav = 0, nat = 4, ntyp = 3
/
ATOMIC_SPECIES
Pb 207.20 Pb.upf
Sr 87.62 Sr.upf
Al 26.98 Al.upf
ATOMIC_POSITIONS angstrom
Pb -9.230 3.057 -2.437
Pb -4.616 1.529 -1.219
Sr -2.787 1.179 1.727
Al -1.494 3.033 -0.845
CELL_PARAMETERS angstrom
-3.322 3.382 -3.791
-5.909 -0.325 1.354
4.950 1.154 3.319
```


SrAlPb | PBE | relaxed Values from VASP.

Values from the calculation:
The space group is F-43m (216).

Quantum ESPRESSO input file:
```
&SYSTEM
  ibrav = 0, nat = 3, ntyp = 3
/
ATOMIC_SPECIES
Pb 207.20 Pb.upf
Sr 87.62 Sr.upf
Al 26.98 Al.upf
ATOMIC_POSITIONS angstrom
Pb 0.000 0.000 0.000
Sr -1.971 -4.832 3.617
Al -2.957 -7.248 5.426
CELL_PARAMETERS angstrom
-3.705 -3.569 0.644
1.218 -4.702 1.814
-1.456 -1.393 4.777
```


| no. | E_form (eV/atom) | total magnetization (μB per formula unit) |
| --- | --- | --- |
| 1 | -0.163 | 0.00 |
| 2 | -0.148 | 0.00 |
| 3 | -0.100 | 0.00 |